## CsNaSb (PBE-GGA)

Data for a relaxed structure of CsNaSb.

Cell and atoms, written as CIF:
```
data_CsNaSb
_chemical_formula_sum 'Cs2 Na2 Sb2'
_cell_length_a 8.747
_cell_length_b 8.747
_cell_length_c 8.747
_cell_angle_alpha 146.84
_cell_angle_beta 128.14
_cell_angle_gamma 62.95
_symmetry_space_group_name_H-M 'P 1'
_symmetry_Int_Tables_number 1
loop_
_symmetry_equiv_pos_as_xyz
'x,y,z'
loop_
_atom_site_label
_atom_site_fract_x
_atom_site_fract_y
_atom_site_fract_z
Cs1 0.206 0.206 0.000
Cs2 0.794 0.794 0.000
Na1 0.305 0.500 0.805
Na2 0.695 0.500 0.195
Sb1 0.401 0.901 0.500
Sb2 0.599 0.099 0.500
```

Results
Symmetry = Immm
Crystal system = orthorhombic
Formation energy without anion corrections = -0.30 eV/atom
Energy relative to the lowest polymorph listed for this composition = 88 meV per atom

## Zr2CdH (PBE-GGA)

Data for a relaxed structure of Zr2CdH.

Cell and atoms, written as CIF:
```
data_Zr2CdH
_chemical_formula_sum 'Zr4 Cd2 H2'
_cell_length_a 6.016
_cell_length_b 6.016
_cell_length_c 5.371
_cell_angle_alpha 103.96
_cell_angle_beta 103.96
_cell_angle_gamma 123.83
_symmetry_space_group_name_H-M 'P 1'
_symmetry_Int_Tables_number 1
loop_
_symmetry_equiv_pos_as_xyz
'x,y,z'
loop_
_atom_site_label
_atom_site_fract_x
_atom_site_fract_y
_atom_site_fract_z
Zr1 0.041 0.288 0.091
Zr2 0.288 0.041 0.591
Zr3 0.712 0.959 0.409
Zr4 0.959 0.712 0.909
Cd1 0.379 0.621 0.750
Cd2 0.621 0.379 0.250
H1 0.253 0.747 0.250
H2 0.747 0.253 0.750
```

Results
Symmetry = C2/c
Crystal system = monoclinic
Energy relative to the lowest polymorph listed for this composition = 64 meV per atom

## MgTi5 (PBE-GGA)

Data for a relaxed structure of MgTi5.

Cell and atoms, written as CIF:
```
data_MgTi5
_chemical_formula_sum 'Mg1 Ti5'
_cell_length_a 4.806
_cell_length_b 7.848
_cell_length_c 7.848
_cell_angle_alpha 21.27
_cell_angle_beta 90.00
_cell_angle_gamma 90.00
_symmetry_space_group_name_H-M 'P 1'
_symmetry_Int_Tables_number 1
loop_
_symmetry_equiv_pos_as_xyz
'x,y,z'
loop_
_atom_site_label
_atom_site_fract_x
_atom_site_fract_y
_atom_site_fract_z
Mg1 0.000 0.000 0.000
Ti1 0.000 0.327 0.327
Ti2 0.000 0.668 0.668
Ti3 0.500 0.113 0.113
Ti4 0.500 0.433 0.433
Ti5 0.500 0.774 0.774
```

Results
Symmetry = Amm2
Crystal system = orthorhombic
Formation energy from the elements = 0.096 eV per atom
Energy relative to the lowest polymorph listed for this composition = 36 meV per atom

Question: What is the formula in the second record?
Answer: Zr2CdH